This record from Alexandria describes a relaxed PmDy4Er4 crystal. The functional is PBE-GGA.

a b c (Å): 9.106 9.106 10.763
angles (deg): 93.29 93.29 139.76
Fractional positions:
Pm (0.222, 0.222, 0.280)
Pm (0.778, 0.778, 0.720)
Dy (0.186, 0.814, 0.000)
Dy (0.357, 0.643, 0.500)
Dy (0.358, 0.642, 0.166)
Dy (0.358, 0.642, 0.834)
Dy (0.642, 0.358, 0.166)
Dy (0.642, 0.358, 0.834)
Dy (0.643, 0.357, 0.500)
Dy (0.814, 0.186, 0.000)
Er (0.180, 0.808, 0.334)
Er (0.192, 0.820, 0.666)
Er (0.226, 0.226, 0.613)
Er (0.227, 0.227, 0.946)
Er (0.773, 0.773, 0.054)
Er (0.774, 0.774, 0.387)
Er (0.808, 0.180, 0.334)
Er (0.820, 0.192, 0.666)

Properties
- Space-group type: C2/m, No. 12
- Size of the total moment: 0.00 μB per formula unit
- Electronic total energy: -0.33197 Ry/atom